## FeBAu3 (PBE)

Data for crystalline FeBAu3 at its relaxed geometry.

Total energy   -3.40 eV/atom
Space group   No. 221

Geometry as POSCAR:
```
FeBAu3
1.0
4.8476 0.0000 0.0000
0.0000 4.8476 0.0000
0.0000 0.0000 4.8476
Fe B Au
1 1 3
Direct
0.0000 0.0000 0.0000
0.5000 0.5000 0.5000
0.0000 0.0000 0.5000
0.0000 0.5000 0.0000
0.5000 0.0000 0.0000
```



## FeB3Au (PBE)

Data for crystalline FeB3Au at its relaxed geometry.

Total energy   -5.37 eV/atom
Excess energy over the best structure of this formula in the dataset   0 meV/atom
Space group   No. 221

Geometry as POSCAR:
```
FeB3Au
1.0
3.8317 0.0000 0.0000
0.0000 3.8317 0.0000
0.0000 0.0000 3.8317
Fe B Au
1 3 1
Direct
0.0000 0.0000 0.0000
0.0000 0.0000 0.5000
0.0000 0.5000 0.0000
0.5000 0.0000 0.0000
0.5000 0.5000 0.5000
```